No. 1
First-principles (PBE) data for a relaxed Ir2RhPb crystal, as listed in Alexandria.

```
4
Lattice="2.9585 0.0000 0.0000 0.0000 2.9585 0.0000 0.0000 0.0000 7.8489" Properties=species:S:1:pos:R:3 pbc="T T T"
Ir 0.0000 0.0000 1.6934
Ir 0.0000 0.0000 6.1555
Rh 1.4793 1.4793 0.0000
Pb 1.4793 1.4793 3.9245
```

Calculated values
ΔE_f: 0.462 eV per atom
size of the total moment: 0.00 μB per cell
DFT total energy: -6.73 eV/atom

---

No. 2
First-principles (PBE) data for a relaxed IrRhPb crystal, as listed in Alexandria.

```
3
Lattice="0.0000 3.1310 3.1310 3.1310 0.0000 3.1310 3.1310 3.1310 0.0000" Properties=species:S:1:pos:R:3 pbc="T T T"
Ir 0.0000 0.0000 0.0000
Rh 1.5655 1.5655 1.5655
Pb 4.6966 4.6966 4.6966
```

Calculated values
ΔE_f: 0.397 eV per atom
size of the total moment: 0.89 μB per cell
distance to the lowest polymorph of the same formula: 0.000 eV per atom
DFT total energy: -6.24 eV/atom

---

No. 3
First-principles (PBE) data for a relaxed Ir2RhPb crystal, as listed in Alexandria.

```
4
Lattice="2.9432 0.0000 0.0000 0.0000 2.9432 0.0000 0.0000 0.0000 7.9299" Properties=species:S:1:pos:R:3 pbc="T T T"
Ir 0.0000 0.0000 0.0000
Ir 1.4716 1.4716 1.6943
Rh 1.4716 1.4716 6.1821
Pb 0.0000 0.0000 3.9837
```

Calculated values
ΔE_f: 0.369 eV per atom
size of the total moment: 0.00 μB per cell
DFT total energy: -6.83 eV/atom

---

No. 4
First-principles (PBE) data for a relaxed Ir2RhPb crystal, as listed in Alexandria.

```
4
Lattice="0.0000 3.2220 3.2220 3.2220 0.0000 3.2220 3.2220 3.2220 0.0000" Properties=species:S:1:pos:R:3 pbc="T T T"
Ir 0.0000 0.0000 0.0000
Ir 1.6110 1.6110 1.6110
Rh 4.8330 4.8330 4.8330
Pb 3.2220 3.2220 3.2220
```

Calculated values
ΔE_f: 0.493 eV per atom
size of the total moment: 0.00 μB per cell
DFT total energy: -6.70 eV/atom